A plane-wave DFT calculation with PBE was carried out for crystalline BaHoInPb at its relaxed geometry.

Summary:
SG: F-43m, No. 216
DFT total energy in eV per atom: -3.55

a b c (Å): 5.709 5.709 5.709
angles (deg): 60.00 60.00 60.00
Sites, in units of the cell vectors:
Ba: 0.000 0.000 0.000
Ho: 0.500 0.500 0.500
In: 0.750 0.750 0.750
Pb: 0.250 0.250 0.250